Computed, not measured: a relaxed CaSb5 crystal at the GGA-PBE level of DFT.

Cell: 6.1051 6.1051 7.9247 Å, 103.02 103.02 38.53°
With the nearest neighbours (Å) after each atom.
Fractional positions:
Ca1 0.0000 0.0000 0.0000  8 Sb 3.23-3.42
Sb1 0.2875 0.2875 0.0705  4 Sb 3.09-3.34, 3 Ca 3.23-3.32
Sb2 0.3760 0.3760 0.6783  4 Sb 3.04-3.23, 2 Ca 3.30
Sb3 0.6301 0.6301 0.3285  2 Sb 2.94-3.09
Sb4 0.6896 0.6896 0.7301  5 Sb 3.04-3.34
Sb5 0.8901 0.8901 0.3644  5 Sb 2.94-3.23

SG: Cm, No. 8
energy: -3.9007 eV/atom
DOS at the Fermi energy: 0.64 states/eV per atom
formation energy without anion corrections: -0.13 eV/atom
calculated density: 6.030 Mg/m³

Computed, not measured: a relaxed Co2TeW crystal at the GGA-PBE level of DFT.

Cell: 4.0103 4.0103 3.5891 Å, 90.00 90.00 90.00°
With the nearest neighbours (Å) after each atom.
Fractional positions:
Co1 0.0000 0.5000 0.0000  4 W 2.69, 4 Te 2.69, 4 Co 2.84
Co2 0.5000 0.0000 0.0000  4 W 2.69, 4 Te 2.69, 4 Co 2.84
Te1 0.0000 0.0000 0.5000  8 Co 2.69, 4 W 2.84
W1 0.5000 0.5000 0.5000  8 Co 2.69, 4 Te 2.84

SG: P4/mmm, No. 123
energy: -7.0752 eV/atom
DOS at the Fermi energy: 1.41 states/eV per atom
formation energy without anion corrections: 0.50 eV/atom
calculated density: 12.350 Mg/m³

Computed, not measured: a relaxed Y2InRh3 crystal at the GGA-PBE level of DFT.

Cell: 4.7563 4.7563 11.6678 Å, 90.00 90.00 120.00°
With the nearest neighbours (Å) after each atom.
Fractional positions:
Y1 0.0000 0.0000 0.0000  8 Rh 2.92-2.95
Y2 0.0000 0.0000 0.5000  8 Rh 2.89-2.90
Y3 0.3333 0.6667 0.1781  8 Rh 2.84-3.07
Y4 0.6667 0.3333 0.8219  8 Rh 2.84-3.07
In1 0.3333 0.6667 0.6646  8 Rh 2.84-2.92
In2 0.6667 0.3333 0.3354  8 Rh 2.84-2.92
Rh1 0.0000 0.0000 0.2525  5 Y 2.88-2.95, 3 In 2.91
Rh2 0.0000 0.0000 0.7475  5 Y 2.88-2.95, 3 In 2.91
Rh3 0.3333 0.6667 0.4211  4 Y 2.84-2.90, 4 In 2.84-2.92
Rh4 0.3333 0.6667 0.9146  1 In 2.92, 7 Y 2.92-3.07
Rh5 0.6667 0.3333 0.0854  1 In 2.92, 7 Y 2.92-3.07
Rh6 0.6667 0.3333 0.5789  4 Y 2.84-2.90, 4 In 2.84-2.92

SG: P-3m1, No. 164
energy: -7.0512 eV/atom
DOS at the Fermi energy: 0.28 states/eV per atom
formation energy from the elements: -0.764 eV/atom
calculated density: 8.737 Mg/m³

Computed, not measured: a relaxed CdAuSN2 crystal at the GGA-PBE level of DFT.

Cell: 3.9181 3.9181 7.1820 Å, 90.00 90.00 90.00°
With the nearest neighbours (Å) after each atom.
Fractional positions:
Cd1 0.0000 0.0000 0.0000  4 S 2.77
Au1 0.5000 0.5000 0.5000  4 N 1.96
S1 0.5000 0.5000 0.0000  4 Cd 2.77
N1 0.0000 0.5000 0.5000  2 Au 1.96
N2 0.5000 0.0000 0.5000  2 Au 1.96

SG: P4/mmm, No. 123
energy: -3.5276 eV/atom
DOS at the Fermi energy: 0.44 states/eV per atom
formation energy without anion corrections: 1.47 eV/atom
calculated density: 5.565 Mg/m³

Computed, not measured: a relaxed SmEr4Co crystal at the GGA-PBE level of DFT.

Cell: 3.5264 6.1764 8.3226 Å, 110.18 90.12 106.47°
With the nearest neighbours (Å) after each atom.
Fractional positions:
Sm1 0.0000 0.0000 0.0000  10 Er 3.45-3.66, 2 Sm 3.53
Er1 0.3304 0.6596 0.2096  2 Co 3.08, 2 Er 3.27-3.28
Er2 0.3731 0.7476 0.6201  2 Co 2.72-2.73
Er3 0.6269 0.2524 0.3799  2 Co 2.72-2.73
Er4 0.6696 0.3404 0.7904  2 Co 3.08, 2 Er 3.27-3.28
Co1 0.0000 0.0000 0.5000  4 Er 2.72-2.73

SG: P-1, No. 2
energy: -5.0627 eV/atom
DOS at the Fermi energy: 1.30 states/eV per atom
formation energy from the elements: -0.050 eV/atom
calculated density: 8.994 Mg/m³

Computed, not measured: a relaxed ErTlPb crystal at the GGA-PBE level of DFT.

Cell: 8.5053 8.5053 4.4507 Å, 90.00 90.00 148.61°
With the nearest neighbours (Å) after each atom.
Fractional positions:
Er1 0.0896 0.9104 0.7500  6 Pb 3.21-3.53, 4 Tl 3.43-3.50
Er2 0.9104 0.0896 0.2500  6 Pb 3.21-3.53, 4 Tl 3.43-3.50
Tl1 0.2547 0.7453 0.2500  4 Tl 3.20, 4 Er 3.43-3.50, 2 Pb 3.59
Tl2 0.7453 0.2547 0.7500  4 Tl 3.20, 4 Er 3.43-3.50, 2 Pb 3.59
Pb1 0.4265 0.5735 0.7500  6 Er 3.21-3.53, 2 Pb 3.28, 2 Tl 3.59
Pb2 0.5735 0.4265 0.2500  6 Er 3.21-3.53, 2 Pb 3.28, 2 Tl 3.59

SG: Cmcm, No. 63
energy: -3.8191 eV/atom
DOS at the Fermi energy: 0.71 states/eV per atom
formation energy from the elements: -0.273 eV/atom
calculated density: 11.462 Mg/m³

Computed, not measured: a relaxed Rb2LaAlSe4 crystal at the GGA-PBE level of DFT.

Cell: 8.8290 8.8290 8.8290 Å, 122.99 117.51 89.64°
With the nearest neighbours (Å) after each atom.
Fractional positions:
Rb1 0.0000 0.0000 0.0000  6 Se 3.26-3.28
Rb2 0.5000 0.0000 0.0000  6 Se 3.52-3.53
Rb3 0.5000 0.0000 0.5000  6 Se 3.26-3.28
Rb4 0.5000 0.5000 0.5000  6 Se 3.52-3.53
La1 0.0000 0.5000 0.5000  6 Se 3.02-3.08
La2 0.5000 0.5000 0.0000  6 Se 3.02-3.08
Al1 0.0000 0.0000 0.5000  6 Se 2.74-2.76
Al2 0.0000 0.5000 0.0000  6 Se 2.74-2.76
Se1 0.1834 0.7421 0.4413  2 Al 2.74
Se2 0.1992 0.2579 0.9413  2 Al 2.74
Se3 0.2196 0.2409 0.5213  1 Al 2.76, 2 La 3.02
Se4 0.2196 0.6982 0.9787  1 Al 2.76, 2 La 3.02
Se5 0.7804 0.3018 0.0213  1 Al 2.76, 2 La 3.02
Se6 0.7804 0.7591 0.4787  1 Al 2.76, 2 La 3.02
Se7 0.8008 0.7421 0.0587  2 Al 2.74
Se8 0.8166 0.2579 0.5587  2 Al 2.74

SG: Imma, No. 74
energy: -4.3115 eV/atom
formation energy without anion corrections: -1.24 eV/atom
calculated density: 4.484 Mg/m³

Computed, not measured: a relaxed Sc4TeN crystal at the GGA-PBE level of DFT.

Cell: 7.3138 7.3138 6.5656 Å, 103.52 103.52 44.31°
With the nearest neighbours (Å) after each atom.
Fractional positions:
Sc1 0.0217 0.1845 0.4467  1 N 2.14
Sc2 0.1845 0.0217 0.9467  1 N 2.14
Sc3 0.2433 0.3597 0.8171  2 N 2.28-2.29
Sc4 0.3597 0.2433 0.3171  2 N 2.28-2.29
Sc5 0.6403 0.7567 0.6829  2 N 2.28-2.29
Sc6 0.7567 0.6403 0.1829  2 N 2.28-2.29
Sc7 0.8155 0.9783 0.0533  1 N 2.14
Sc8 0.9783 0.8155 0.5533  1 N 2.14
Te1 0.3793 0.6207 0.2500  6 Sc 3.00-3.17
Te2 0.6207 0.3793 0.7500  6 Sc 3.00-3.17
N1 0.0000 0.5000 0.5000  6 Sc 2.14-2.29
N2 0.5000 0.0000 0.0000  6 Sc 2.14-2.29

SG: C2/c, No. 15
energy: -7.0562 eV/atom
DOS at the Fermi energy: 0.94 states/eV per atom
formation energy without anion corrections: -0.92 eV/atom
calculated density: 4.497 Mg/m³

Computed, not measured: a relaxed CoRe2W crystal at the GGA-PBE level of DFT.

Cell: 3.8215 3.8215 3.8823 Å, 90.00 90.00 90.00°
With the nearest neighbours (Å) after each atom.
Fractional positions:
Co1 0.0000 0.0000 0.0000  4 W 2.70, 8 Re 2.72
Re1 0.0000 0.5000 0.5000  4 Re 2.70, 4 W 2.72, 4 Co 2.72
Re2 0.5000 0.0000 0.5000  4 Re 2.70, 4 W 2.72, 4 Co 2.72
W1 0.5000 0.5000 0.0000  4 Co 2.70, 8 Re 2.72

SG: P4/mmm, No. 123
energy: -11.1946 eV/atom
DOS at the Fermi energy: 0.69 states/eV per atom
formation energy from the elements: 0.044 eV/atom
calculated density: 18.018 Mg/m³

Computed, not measured: a relaxed Ta3CdGe crystal at the GGA-PBE level of DFT.

Cell: 4.7628 4.7628 4.7628 Å, 90.00 90.00 90.00°
With the nearest neighbours (Å) after each atom.
Fractional positions:
Ta1 0.0000 0.0000 0.5000  2 Ge 2.38
Ta2 0.0000 0.5000 0.0000  2 Ge 2.38
Ta3 0.5000 0.0000 0.0000  2 Ge 2.38
Cd1 0.5000 0.5000 0.5000  12 Ta 3.37
Ge1 0.0000 0.0000 0.0000  6 Ta 2.38

SG: Pm-3m, No. 221
energy: -7.1919 eV/atom
DOS at the Fermi energy: 1.59 states/eV per atom
formation energy from the elements: 1.026 eV/atom
calculated density: 11.187 Mg/m³

Computed, not measured: a relaxed Dy4AlZn2Pt crystal at the GGA-PBE level of DFT.

Cell: 8.7096 8.7096 8.7096 Å, 33.54 33.54 33.54°
With the nearest neighbours (Å) after each atom.
Fractional positions:
Dy1 0.1203 0.1203 0.1203  1 Pt 2.96, 4 Zn 2.99-3.02, 3 Al 3.12
Dy2 0.3713 0.3713 0.3713  3 Pt 3.05, 4 Zn 3.16-3.18, 1 Al 3.17
Dy3 0.6287 0.6287 0.6287  3 Pt 3.05, 4 Zn 3.16-3.18, 1 Al 3.17
Dy4 0.8797 0.8797 0.8797  1 Pt 2.96, 4 Zn 2.99-3.02, 3 Al 3.12
Al1 0.5000 0.5000 0.5000  8 Dy 3.12-3.17, 6 Zn 3.46
Zn1 0.2429 0.2429 0.2429  8 Dy 2.99-3.18
Zn2 0.7571 0.7571 0.7571  8 Dy 2.99-3.18
Pt1 0.0000 0.0000 0.0000  8 Dy 2.96-3.05

SG: R-3m, No. 166
energy: -4.4481 eV/atom
DOS at the Fermi energy: 0.62 states/eV per atom
formation energy from the elements: -0.606 eV/atom
calculated density: 9.272 Mg/m³

Computed, not measured: a relaxed Tb2Y2Cd3 crystal at the GGA-PBE level of DFT.

Cell: 5.2485 5.2485 8.9317 Å, 106.89 106.89 60.26°
With the nearest neighbours (Å) after each atom.
Fractional positions:
Tb1 0.1174 0.1174 0.3542  7 Cd 3.13-3.27
Tb2 0.8826 0.8826 0.6458  7 Cd 3.13-3.27
Y1 0.3702 0.3702 0.1129  5 Cd 3.14-3.28
Y2 0.6298 0.6298 0.8871  5 Cd 3.14-3.28
Cd1 0.2475 0.2475 0.7399  4 Tb 3.13-3.24, 4 Y 3.14-3.28
Cd2 0.5000 0.5000 0.5000  2 Y 3.26, 6 Tb 3.27, 2 Cd 3.63
Cd3 0.7525 0.7525 0.2601  4 Tb 3.13-3.24, 4 Y 3.14-3.28

SG: C2/m, No. 12
energy: -3.7204 eV/atom
DOS at the Fermi energy: 1.38 states/eV per atom
formation energy from the elements: -0.158 eV/atom
calculated density: 6.874 Mg/m³